A plane-wave DFT calculation with PBE-GGA was carried out for PmNdEuTh after structural relaxation.

POSCAR file:
```
PmNdEuTh
1.0
0.0000 4.1270 4.1270
4.1270 0.0000 4.1270
4.1270 4.1270 0.0000
Pm Nd Eu Th
1 1 1 1
Direct
0.0000 0.0000 0.0000 Pm
0.5000 0.5000 0.5000 Nd
0.7500 0.7500 0.7500 Eu
0.2500 0.2500 0.2500 Th
```

Results
Total energy, eV per cell: -26.310
Total magnetic moment, μB/atom: 1.61
SG: F-43m
DFT formation energy, eV per atom: 0.226
Crystal system: cubic